VASP calculation (PBE) on a relaxed structure of AgPb2I4Br.

a b c (Å): 8.218 8.218 11.499
angles (deg): 126.04 126.04 30.90
Fractional coordinates of all 8 atoms:
Ag1 0.000 0.000 0.000
Pb1 0.170 0.170 0.750
Pb2 0.830 0.830 0.250
I1 0.191 0.191 0.281
I2 0.388 0.388 0.088
I3 0.612 0.612 0.912
I4 0.809 0.809 0.719
Br1 0.500 0.500 0.500

## Properties
The space group is C2/m, No. 12. Its total magnetic moment is 0.000 μB per atom. As for the mass density: 5834 kg/m3. The value obtained for the total DFT energy (no corrections) is -2.8186 eV per atom.

=====

VASP calculation (PBE) on a relaxed structure of PuAg3I2Br6.

a b c (Å): 8.385 8.385 6.609
angles (deg): 95.63 95.63 58.89
Fractional coordinates of all 12 atoms:
Pu1 0.000 0.000 0.000
Ag1 0.000 0.500 0.000
Ag2 0.500 0.000 0.000
Ag3 0.500 0.500 0.500
I1 0.327 0.327 0.265
I2 0.673 0.673 0.735
Br1 0.150 0.150 0.769
Br2 0.159 0.678 0.752
Br3 0.322 0.841 0.248
Br4 0.678 0.159 0.752
Br5 0.841 0.322 0.248
Br6 0.850 0.850 0.231

## Properties
The space group is C2/m, No. 12. Its total magnetic moment is 0.280 μB per atom. As for the mass density: 5464 kg/m3. The value obtained for the total DFT energy (no corrections) is -3.6533 eV per atom.

=====

VASP calculation (PBE) on a relaxed structure of Rb3Ag2I4Br2.

a b c (Å): 15.346 15.346 15.346
angles (deg): 158.88 158.88 30.04
Fractional coordinates of all 11 atoms:
Rb1 0.000 0.000 0.000
Rb2 0.185 0.185 0.000
Rb3 0.815 0.815 0.000
Ag1 0.392 0.392 0.000
Ag2 0.608 0.608 0.000
I1 0.085 0.585 0.500
I2 0.415 0.915 0.500
I3 0.585 0.085 0.500
I4 0.915 0.415 0.500
Br1 0.299 0.299 0.000
Br2 0.701 0.701 0.000

## Properties
The space group is I4/mmm, No. 139. Its total magnetic moment is 0.000 μB per atom. As for the mass density: 4037 kg/m3. The value obtained for the total DFT energy (no corrections) is -2.6067 eV per atom.

=====

VASP calculation (PBE) on a relaxed structure of RbAg2I2Br.

a b c (Å): 9.139 5.895 9.141
angles (deg): 90.00 106.22 90.00
Fractional coordinates of all 12 atoms:
Rb1 0.234 0.250 0.266
Rb2 0.766 0.750 0.734
Ag1 0.315 0.000 0.816
Ag2 0.315 0.500 0.816
Ag3 0.685 0.000 0.184
Ag4 0.685 0.500 0.184
I1 0.062 0.250 0.841
I2 0.340 0.750 0.563
I3 0.660 0.250 0.437
I4 0.938 0.750 0.159
Br1 0.400 0.750 0.100
Br2 0.600 0.250 0.900

## Properties
The space group is P2_1/m, No. 11. Its total magnetic moment is 0.000 μB per atom. As for the mass density: 4459 kg/m3. The value obtained for the total DFT energy (no corrections) is -2.6152 eV per atom.

=====

VASP calculation (PBE) on a relaxed structure of RbAgI2Br6.

a b c (Å): 7.417 8.038 8.439
angles (deg): 99.20 101.60 111.59
Fractional coordinates of all 10 atoms:
Rb1 0.000 0.000 0.000
Ag1 0.000 0.500 0.500
I1 0.322 0.730 0.140
I2 0.678 0.270 0.860
Br1 0.156 0.792 0.400
Br2 0.188 0.340 0.372
Br3 0.466 0.714 0.879
Br4 0.534 0.286 0.121
Br5 0.812 0.660 0.628
Br6 0.844 0.208 0.600

## Properties
The space group is P-1, No. 2. Its total magnetic moment is 0.000 μB per atom. As for the mass density: 3474 kg/m3. The value obtained for the total DFT energy (no corrections) is -2.0998 eV per atom.

=====

VASP calculation (PBE) on a relaxed structure of Rb3Ag2IBr9.

a b c (Å): 7.895 7.895 9.765
angles (deg): 90.00 90.00 120.00
Fractional coordinates of all 15 atoms:
Rb1 0.000 0.000 0.000
Rb2 0.333 0.667 0.704
Rb3 0.667 0.333 0.296
Ag1 0.333 0.667 0.159
Ag2 0.667 0.333 0.841
I1 0.000 0.000 0.500
Br1 0.000 0.500 0.000
Br2 0.174 0.348 0.326
Br3 0.174 0.826 0.326
Br4 0.348 0.174 0.674
Br5 0.500 0.000 0.000
Br6 0.500 0.500 0.000
Br7 0.652 0.826 0.326
Br8 0.826 0.174 0.674
Br9 0.826 0.652 0.674

## Properties
The space group is P-3m1, No. 164. Its total magnetic moment is 0.000 μB per atom. As for the mass density: 4152 kg/m3. The value obtained for the total DFT energy (no corrections) is -2.4715 eV per atom.

=====

VASP calculation (PBE) on a relaxed structure of Rb2AgIBr3.

a b c (Å): 9.680 9.680 9.680
angles (deg): 146.96 146.39 47.85
Fractional coordinates of all 7 atoms:
Rb1 0.145 0.145 0.000
Rb2 0.855 0.855 0.000
Ag1 0.500 0.500 0.000
I1 0.000 0.500 0.500
Br1 0.339 0.339 0.000
Br2 0.500 0.000 0.500
Br3 0.661 0.661 0.000

## Properties
The space group is Immm, No. 71. Its total magnetic moment is 0.000 μB per atom. As for the mass density: 3931 kg/m3. The value obtained for the total DFT energy (no corrections) is -2.6554 eV per atom.

=====

VASP calculation (PBE) on a relaxed structure of Rb2AgI6Br.

a b c (Å): 8.667 8.667 8.667
angles (deg): 120.11 120.11 89.81
Fractional coordinates of all 10 atoms:
Rb1 0.250 0.750 0.500
Rb2 0.750 0.250 0.500
Ag1 0.000 0.000 0.000
I1 0.221 0.221 0.443
I2 0.221 0.779 0.000
I3 0.273 0.273 0.000
I4 0.727 0.727 0.000
I5 0.779 0.221 0.000
I6 0.779 0.779 0.557
Br1 0.500 0.500 0.000

## Properties
The space group is I4/mmm, No. 139. Its total magnetic moment is 0.000 μB per atom. As for the mass density: 4048 kg/m3. The value obtained for the total DFT energy (no corrections) is -2.1598 eV per atom.